Record 1
Crystalline Mg2TaSe at its relaxed geometry, computed with GGA-PBE.

abc: 9.0336 9.0336 9.0336
angles: 20.49 20.49 20.49
Last column: nearest neighbours and their distance in Å.
Element x y z (fractional)
Mg1 0.2418 0.2418 0.2418  3 Se 2.72
Mg2 0.7582 0.7582 0.7582  3 Se 2.72
Ta1 0.0000 0.0000 0.0000  6 Mg 3.06, 6 Ta 3.21
Se1 0.5000 0.5000 0.5000  6 Mg 2.72

Output
Formation energy without anion corrections   6 meV/atom



Record 2
Crystalline Ac2La3ThSe6 at its relaxed geometry, computed with GGA-PBE.

abc: 9.7230 9.7230 8.7018
angles: 103.10 103.10 25.80
Last column: nearest neighbours and their distance in Å.
Element x y z (fractional)
Ac1 0.1636 0.1636 0.3296  6 Se 3.09-3.14
Ac2 0.8364 0.8364 0.6704  6 Se 3.09-3.14
La1 0.1676 0.1676 0.8357  6 Se 3.01-3.09
La2 0.5000 0.5000 0.5000  6 Se 3.06-3.10
La3 0.8324 0.8324 0.1643  6 Se 3.01-3.09
Th1 0.5000 0.5000 0.0000  6 Se 3.04-3.05
Se1 0.0042 0.0042 0.7565  3 La 3.01-3.10, 2 Th 3.05, 1 Ac 3.09
Se2 0.3340 0.3340 0.4107  3 La 3.05-3.06, 3 Ac 3.13-3.14
Se3 0.3353 0.3353 0.9246  3 La 3.02-3.09, 1 Th 3.04, 2 Ac 3.10
Se4 0.6647 0.6647 0.0754  3 La 3.02-3.09, 1 Th 3.04, 2 Ac 3.10
Se5 0.6660 0.6660 0.5893  3 La 3.05-3.06, 3 Ac 3.13-3.14
Se6 0.9958 0.9958 0.2435  3 La 3.01-3.10, 2 Th 3.05, 1 Ac 3.09

Output
Formation energy without anion corrections   -1862 meV/atom



Record 3
Crystalline K5BaI7 at its relaxed geometry, computed with GGA-PBE.

abc: 4.9162 8.7991 29.4754
angles: 89.99 90.00 73.79
Last column: nearest neighbours and their distance in Å.
Element x y z (fractional)
K1 0.0000 0.0000 0.0000  6 I 3.46-3.63
K2 0.0252 0.9499 0.2045  6 I 3.50-3.67
K3 0.1738 0.6513 0.7791  6 I 3.50-3.61
K4 0.2044 0.5897 0.4241  6 I 3.48-3.57
K5 0.4501 0.0988 0.8541  6 I 3.54-3.86
K6 0.4835 0.0323 0.3540  6 I 3.54-3.86
K7 0.7291 0.5414 0.9241  6 I 3.47-3.57
K8 0.7602 0.4794 0.2790  6 I 3.50-3.62
K9 0.9087 0.1809 0.7046  6 I 3.50-3.66
K10 0.9336 0.1310 0.5000  6 I 3.46-3.63
Ba1 0.2614 0.4774 0.0926  7 I 3.48-3.87
Ba2 0.6724 0.6533 0.5928  7 I 3.48-3.87
I1 0.0278 0.9422 0.6042  2 K 3.46-3.58, 2 Ba 3.48
I2 0.0872 0.8250 0.8912  6 K 3.53-3.61
I3 0.1191 0.7614 0.3156  6 K 3.51-3.64
I4 0.2600 0.4783 0.6694  3 K 3.55-3.66, 2 Ba 3.65
I5 0.2860 0.4262 0.5323  3 K 3.48-3.63, 2 Ba 3.59
I6 0.3559 0.2881 0.9732  5 K 3.55-3.86, 1 Ba 3.87
I7 0.3955 0.2089 0.2452  5 K 3.50-3.54
I8 0.5384 0.9217 0.7452  5 K 3.50-3.54
I9 0.5776 0.8430 0.4733  5 K 3.55-3.86, 1 Ba 3.87
I10 0.6474 0.7051 0.0321  3 K 3.47-3.63, 2 Ba 3.59-3.60
I11 0.6739 0.6526 0.1693  3 K 3.55-3.67, 2 Ba 3.65
I12 0.8146 0.3695 0.8156  6 K 3.51-3.64
I13 0.8464 0.3062 0.3912  6 K 3.53-3.62
I14 0.9059 0.1887 0.1041  2 K 3.46-3.58, 2 Ba 3.48

Output
Formation energy without anion corrections   -1540 meV/atom